w | NaBi4Au2 | GGA-PBE | optimized geometry

The value obtained for the density of states at the Fermi level is 2.50 states/eV/cell. For the volume, the calculation gives 29.6 A^3/atom. The crystal system is tetragonal. The size of the total moment comes out at 0.0 μB/f.u.

```
data_NaBi4Au2
_space_group_name_H-M_alt 'P 42/m n m'
_space_group_IT_number 136
_space_group_name_Hall '-P 4n 2n'
_cell_length_a 9.4712
_cell_length_b 9.4712
_cell_length_c 4.6255
_cell_angle_alpha 90.00
_cell_angle_beta 90.00
_cell_angle_gamma 90.00
loop_
_atom_site_label
_atom_site_type_symbol
_atom_site_fract_x
_atom_site_fract_y
_atom_site_fract_z
_atom_site_occupancy
Na1 Na 0.0000 0.0000 0.0000 1
Bi1 Bi 0.0738 0.3147 0.5000 1
Au1 Au 0.2260 0.7740 0.5000 1
```



x | NaBi4Au2 | GGA-PBE | optimized geometry

The value obtained for the density of states at the Fermi level is 5.09 states/eV/cell. For the volume, the calculation gives 30.4 A^3/atom. The crystal system is triclinic. The size of the total moment comes out at 0.0 μB/f.u.

```
data_NaBi4Au2
_space_group_name_H-M_alt 'P -1'
_space_group_IT_number 2
_cell_length_a 7.4743
_cell_length_b 7.4767
_cell_length_c 9.1378
_cell_angle_alpha 110.86
_cell_angle_beta 111.06
_cell_angle_gamma 97.14
loop_
_space_group_symop_operation_xyz
'x,y,z'
'-x,-y,-z'
loop_
_atom_site_label
_atom_site_type_symbol
_atom_site_fract_x
_atom_site_fract_y
_atom_site_fract_z
_atom_site_occupancy
Na1 Na 0.1279 0.3786 0.2492 1
Bi1 Bi 0.1581 0.1649 0.8774 1
Bi2 Bi 0.2804 0.7878 0.1224 1
Bi3 Bi 0.2885 0.7789 0.6218 1
Bi4 Bi 0.3326 0.3422 0.6210 1
Au1 Au 0.0000 0.0000 0.5000 1
Au2 Au 0.5000 0.0000 0.0000 1
Au3 Au 0.5000 0.0000 0.5000 1
Au4 Au 0.5000 0.5000 0.0000 1
```



Consider the structures shown above. The most stable of them is w.